# Cs2RbGaAg

A relaxed structure of Cs2RbGaAg (GGA-PBE, Alexandria via LeMat-Bulk).

Cell: 7.563 7.563 5.073 Å, 90.00 90.00 90.00°
Sites, in units of the cell vectors:
Cs 0.000 0.500 0.000
Cs 0.500 0.000 0.000
Rb 0.000 0.000 0.500
Ga 0.500 0.500 0.000
Ag 0.500 0.500 0.500

Properties
DOS at the Fermi energy = 4.3 states/eV/f.u.
excess energy over the best structure of this formula in the dataset = 0.10 eV per formula unit
formation enthalpy at 0 K = 0.14 eV/atom
density = 3.0 g cm⁻³